A relaxed structure of Pr6Er2Sc, computed with PBE-GGA.

Unit cell a=10.099 b=10.099 c=6.247 alpha=95.35 beta=95.35 gamma=72.06
Sites, in units of the cell vectors:
Pr  0.090  0.809  0.988
Pr  0.149  0.428  0.148
Pr  0.191  0.910  0.512
Pr  0.254  0.525  0.676
Pr  0.428  0.149  0.648
Pr  0.475  0.746  0.824
Pr  0.525  0.254  0.176
Pr  0.572  0.851  0.352
Pr  0.746  0.475  0.324
Pr  0.809  0.090  0.488
Pr  0.851  0.572  0.852
Pr  0.910  0.191  0.012
Er  0.066  0.274  0.576
Er  0.274  0.066  0.076
Er  0.726  0.934  0.924
Er  0.934  0.726  0.424
Sc  0.391  0.609  0.250
Sc  0.609  0.391  0.750

Output
As for the space group: No. 15. Its energy above the lowest structure with this stoichiometry is 1.26 kcal/mol of atoms. The value obtained for the formation enthalpy at 0 K is 0.09 eV/atom. As for the crystal system: monoclinic. The value obtained for the total magnetization is 0.000 μB per atom.